[1]
OsPb2F8: optimized geometry, PBE.

Cell: 4.9750 6.6980 6.7751 Å, 68.05 89.31 68.54°
With the nearest neighbours (Å) after each atom.
Space group P-1 (No. 2)
One atom of each set of equivalent atoms:
Os 0.0000 0.0000 0.0000  6 F 1.91-2.01
Pb 0.1683 0.6024 0.6714  4 F 2.35-2.63
F 0.0348 0.0453 0.6916  1 Os 2.01
F 0.0472 0.2885 0.9875  1 Os 2.00
F 0.2836 0.4042 0.4394  2 Pb 2.35-2.40
F 0.4073 0.8070 0.0858  1 Os 1.91

Crystal system: triclinic
Energy relative to the elements, uncorrected, eV per atom: -2.050
Density of states at the Fermi level, states/eV per atom: 0.0598

---

[2]
BaGa3Bi: optimized geometry, PBE.

Cell: 5.8918 5.8918 5.8918 Å, 90.00 90.00 90.00°
With the nearest neighbours (Å) after each atom.
Space group Pm-3m (No. 221)
One atom of each set of equivalent atoms:
Ba 0.0000 0.0000 0.0000  6 Ga 2.95
Ga 0.0000 0.0000 0.5000  2 Ba 2.95
Bi 0.5000 0.5000 0.5000  12 Ga 4.17

Crystal system: cubic
DFT formation energy, eV/atom: 0.8734
Density of states at the Fermi level, states/eV per atom: 1.0266

---

[3]
Al2NiBr: optimized geometry, PBE.

Cell: 2.9807 4.3742 11.0292 Å, 90.00 90.00 90.00°
With the nearest neighbours (Å) after each atom.
Space group Immm (No. 71)
One atom of each set of equivalent atoms:
Al 0.0000 0.0000 0.1943  2 Ni 2.61, 4 Al 2.92
Ni 0.0000 0.5000 0.5000  4 Al 2.61, 4 Br 2.65
Br 0.0000 0.5000 0.0000  4 Ni 2.65

Crystal system: orthorhombic
Energy relative to the elements, uncorrected, eV per atom: 0.207
Density of states at the Fermi level, states/eV per atom: 0.5542

---

[4]
AlZn3Re: optimized geometry, PBE.

Cell: 4.8550 4.8550 4.8550 Å, 90.00 90.00 90.00°
With the nearest neighbours (Å) after each atom.
Space group Pm-3m (No. 221)
One atom of each set of equivalent atoms:
Al 0.0000 0.0000 0.0000  12 Zn 3.43
Zn 0.0000 0.5000 0.5000  2 Re 2.43
Re 0.5000 0.5000 0.5000  6 Zn 2.43

Crystal system: cubic
DFT formation energy, eV/atom: 1.0144
Density of states at the Fermi level, states/eV per atom: 0.8937

---

[5]
BaLiCu: optimized geometry, PBE.

Cell: 13.6781 4.3765 6.1416 Å, 90.00 102.14 90.00°
With the nearest neighbours (Å) after each atom.
Space group C2/m (No. 12)
One atom of each set of equivalent atoms:
Ba 0.1234 0.0000 0.3083  4 Cu 3.21-3.55
Li 0.1104 0.5000 0.8035  3 Cu 2.58-2.71
Cu 0.2289 0.0000 0.8883  3 Li 2.58-2.71, 2 Cu 2.58

Crystal system: monoclinic
DFT formation energy, eV/atom: -0.0085
Density of states at the Fermi level, states/eV per atom: 0.6585

---

[6]
ErInPt: optimized geometry, PBE.

Cell: 4.6634 4.6634 3.5156 Å, 90.00 90.00 120.00°
With the nearest neighbours (Å) after each atom.
Space group P-6m2 (No. 187)
One atom of each set of equivalent atoms:
Er 0.0000 0.0000 0.0000  6 In 3.22, 6 Pt 3.22, 2 Er 3.52
In 0.3333 0.6667 0.5000  3 Pt 2.69
Pt 0.6667 0.3333 0.5000  3 In 2.69

Crystal system: hexagonal
DFT formation energy, eV/atom: -0.8148
Density of states at the Fermi level, states/eV per atom: 0.8702